Record 1
{
  "formula": "FeP2S2",
  "functional": "GGA-PBEsol",
  "state": "relaxed",
  "magnetic_moment_mub_per_fu": 3.3,
  "dos_ef_per_ev_atom": 1.22,
  "formation_energy_uncorrected_ev_per_atom": 1.084,
  "lattice_angstrom": [[4.363, 0.000, 0.000], [0.000, 4.363, 0.000], [0.000, 0.000, 4.487]],
  "species": ["Fe", "P", "P", "S", "S"],
  "fractional_positions": [[0.000, 0.000, 0.000], [0.000, 0.500, 0.500], [0.500, 0.000, 0.500], [0.500, 0.500, 0.000], [0.500, 0.500, 0.500]]
}

=====

Record 2
{
  "formula": "FeSiPS2",
  "functional": "GGA-PBEsol",
  "state": "relaxed",
  "magnetic_moment_mub_per_fu": 3.6,
  "dos_ef_per_ev_atom": 0.92,
  "formation_energy_uncorrected_ev_per_atom": 0.706,
  "lattice_angstrom": [[4.416, 0.000, 0.000], [0.000, 4.416, 0.000], [0.000, 0.000, 4.468]],
  "species": ["Fe", "Si", "P", "S", "S"],
  "fractional_positions": [[0.000, 0.000, 0.000], [0.500, 0.500, 0.500], [0.500, 0.500, 0.000], [0.000, 0.500, 0.500], [0.500, 0.000, 0.500]]
}

=====

Record 3
{
  "formula": "FeTc2PS",
  "functional": "GGA-PBEsol",
  "state": "relaxed",
  "magnetic_moment_mub_per_fu": 0.5,
  "dos_ef_per_ev_atom": 1.24,
  "formation_energy_uncorrected_ev_per_atom": 0.646,
  "lattice_angstrom": [[4.330, 0.000, 0.000], [0.000, 4.330, 0.000], [0.000, 0.000, 3.896]],
  "species": ["Fe", "Tc", "Tc", "P", "S"],
  "fractional_positions": [[0.000, 0.000, 0.000], [0.000, 0.500, 0.500], [0.500, 0.000, 0.500], [0.500, 0.500, 0.000], [0.000, 0.000, 0.500]]
}

=====

Record 4
{
  "formula": "Fe2SbP",
  "functional": "GGA-PBEsol",
  "state": "relaxed",
  "magnetic_moment_mub_per_fu": 0.0,
  "dos_ef_per_ev_atom": 0.94,
  "formation_energy_uncorrected_ev_per_atom": 0.043,
  "lattice_angstrom": [[2.851, 0.000, 0.000], [0.000, 2.851, 0.000], [0.000, 0.000, 6.327]],
  "species": ["Fe", "Fe", "Sb", "P"],
  "fractional_positions": [[0.000, 0.000, 0.197], [0.000, 0.000, 0.803], [0.500, 0.500, 0.500], [0.500, 0.500, 0.000]]
}

=====

Record 5
{
  "formula": "Fe2SbP",
  "functional": "GGA-PBEsol",
  "state": "relaxed",
  "magnetic_moment_mub_per_fu": 2.1,
  "dos_ef_per_ev_atom": 1.02,
  "formation_energy_uncorrected_ev_per_atom": -0.059,
  "lattice_angstrom": [[3.160, 0.000, 0.000], [0.000, 3.160, 0.000], [0.000, 0.000, 5.536]],
  "species": ["Fe", "Fe", "Sb", "P"],
  "fractional_positions": [[0.000, 0.000, 0.000], [0.500, 0.500, 0.303], [0.500, 0.500, 0.778], [0.000, 0.000, 0.389]]
}

=====

Record 6
{
  "formula": "FeSbP2",
  "functional": "GGA-PBEsol",
  "state": "relaxed",
  "magnetic_moment_mub_per_fu": 0.0,
  "dos_ef_per_ev_atom": 0.52,
  "formation_energy_uncorrected_ev_per_atom": 0.034,
  "lattice_angstrom": [[3.645, 0.000, 0.000], [0.000, 3.338, 0.000], [-1.006, 0.000, 5.422]],
  "species": ["Fe", "Sb", "P", "P"],
  "fractional_positions": [[0.000, 0.000, 0.000], [0.367, 0.500, 0.745], [0.541, 0.000, 0.249], [0.954, 0.500, 0.263]]
}

=====

Record 7
{
  "formula": "Fe2SbP",
  "functional": "GGA-PBEsol",
  "state": "relaxed",
  "magnetic_moment_mub_per_fu": 1.4,
  "dos_ef_per_ev_atom": 0.86,
  "formation_energy_uncorrected_ev_per_atom": -0.138,
  "lattice_angstrom": [[-1.428, 1.628, 5.899], [1.428, -1.628, 5.899], [1.428, 1.628, -5.899]],
  "species": ["Fe", "Fe", "Sb", "P"],
  "fractional_positions": [[0.000, 0.000, 0.000], [0.814, 0.314, 0.500], [0.625, 0.625, 0.000], [0.374, 0.874, 0.500]]
}

=====

Record 8
{
  "formula": "FeSb2P",
  "functional": "GGA-PBEsol",
  "state": "relaxed",
  "magnetic_moment_mub_per_fu": 2.6,
  "dos_ef_per_ev_atom": 1.09,
  "formation_energy_uncorrected_ev_per_atom": 0.521,
  "lattice_angstrom": [[4.782, 0.000, 0.000], [0.000, 4.782, 0.000], [0.000, 0.000, 3.259]],
  "species": ["Fe", "Sb", "Sb", "P"],
  "fractional_positions": [[0.000, 0.000, 0.000], [0.000, 0.500, 0.500], [0.500, 0.000, 0.500], [0.500, 0.500, 0.000]]
}